ScAsAuN2 | GGA-PBE | optimized geometry

Values from the calculation:
- calculated total energy (eV per atom) = -5.148
- raw formation energy (eV per atom) = 1.034
- calculated volume (Å³/atom) = 16.5

Unit cell a=3.8799 b=3.8799 c=5.4794 alpha=90.00 beta=90.00 gamma=90.00
Element x y z (fractional)
Sc 0.0000 0.0000 0.0000
As 0.0000 0.0000 0.5000
Au 0.5000 0.5000 0.0000
N 0.0000 0.5000 0.5000
N 0.5000 0.0000 0.5000

***

HgC2N | GGA-PBE | optimized geometry

Values from the calculation:
- offset from the most stable computed form (meV/atom) = 0.0
- calculated total energy (eV per atom) = -4.670
- raw formation energy (eV per atom) = 2.099
- calculated volume (Å³/atom) = 10.4

Unit cell a=5.0355 b=5.0355 c=5.0355 alpha=124.77 beta=124.77 gamma=81.92
Element x y z (fractional)
Hg 0.0000 0.0000 0.0000
Hg 0.7500 0.2500 0.5000
C 0.2334 0.6250 0.1084
C 0.3750 0.4834 0.6084
C 0.5166 0.1250 0.8916
C 0.8750 0.7666 0.3916
N 0.2500 0.7500 0.5000
N 0.5000 0.5000 0.0000